Record 1
First-principles (PBE) data for NdPuPt2 after structural relaxation, as listed in the Alexandria database.

Calculated values
Space group: No. 160
DFT formation energy, kJ/mol of atoms: -78
Fermi-level density of states, states/eV/atom: 2.855
Total magnetization, μB/atom: 1.32

Unit cell a=4.106 b=4.106 c=20.860 alpha=90.00 beta=90.00 gamma=120.00
Positions (direct):
Nd 0.000 0.000 0.000
Nd 0.333 0.667 0.667
Nd 0.667 0.333 0.333
Pu 0.000 0.000 0.172
Pu 0.333 0.667 0.839
Pu 0.667 0.333 0.505
Pt 0.000 0.000 0.582
Pt 0.000 0.000 0.758
Pt 0.333 0.667 0.249
Pt 0.333 0.667 0.425
Pt 0.667 0.333 0.091
Pt 0.667 0.333 0.916

=====

Record 2
First-principles (PBE) data for NdPuPt after structural relaxation, as listed in the Alexandria database.

Calculated values
Space group: No. 189
DFT formation energy, kJ/mol of atoms: -65
Fermi-level density of states, states/eV/atom: 2.226
Total magnetization, μB/atom: 1.98

Unit cell a=7.437 b=7.437 c=4.834 alpha=90.00 beta=90.00 gamma=120.00
Positions (direct):
Nd 0.000 0.584 0.000
Nd 0.416 0.416 0.000
Nd 0.584 0.000 0.000
Pu 0.000 0.249 0.500
Pu 0.249 0.000 0.500
Pu 0.751 0.751 0.500
Pt 0.000 0.000 0.000
Pt 0.333 0.667 0.500
Pt 0.667 0.333 0.500

=====

Record 3
First-principles (PBE) data for NdPuPtRh after structural relaxation, as listed in the Alexandria database.

Calculated values
Space group: No. 216
DFT formation energy, kJ/mol of atoms: -66
Fermi-level density of states, states/eV/atom: 2.738
Total magnetization, μB/atom: 1.34

Unit cell a=7.048 b=7.048 c=7.048 alpha=90.00 beta=90.00 gamma=90.00
Positions (direct):
Nd 0.000 0.000 0.000
Nd 0.000 0.500 0.500
Nd 0.500 0.000 0.500
Nd 0.500 0.500 0.000
Pu 0.000 0.000 0.500
Pu 0.000 0.500 0.000
Pu 0.500 0.000 0.000
Pu 0.500 0.500 0.500
Pt 0.250 0.250 0.750
Pt 0.250 0.750 0.250
Pt 0.750 0.250 0.250
Pt 0.750 0.750 0.750
Rh 0.250 0.250 0.250
Rh 0.250 0.750 0.750
Rh 0.750 0.250 0.750
Rh 0.750 0.750 0.250

=====

Record 4
First-principles (PBE) data for NdPuPtRh after structural relaxation, as listed in the Alexandria database.

Calculated values
Space group: No. 38
DFT formation energy, kJ/mol of atoms: -74
Fermi-level density of states, states/eV/atom: 2.935
Total magnetization, μB/atom: 1.33

Unit cell a=4.232 b=3.894 c=11.116 alpha=90.00 beta=90.00 gamma=90.00
Positions (direct):
Nd 0.000 0.000 0.000
Nd 0.000 0.500 0.500
Pu 0.500 0.000 0.279
Pu 0.500 0.500 0.779
Pt 0.500 0.000 0.561
Pt 0.500 0.500 0.061
Rh 0.000 0.000 0.740
Rh 0.000 0.500 0.240

=====

Record 5
First-principles (PBE) data for NdPuRuPt after structural relaxation, as listed in the Alexandria database.

Calculated values
Space group: No. 216
DFT formation energy, kJ/mol of atoms: -42
Fermi-level density of states, states/eV/atom: 2.081
Total magnetization, μB/atom: 1.10

Unit cell a=7.004 b=7.004 c=7.004 alpha=90.00 beta=90.00 gamma=90.00
Positions (direct):
Nd 0.000 0.000 0.000
Nd 0.000 0.500 0.500
Nd 0.500 0.000 0.500
Nd 0.500 0.500 0.000
Pu 0.000 0.000 0.500
Pu 0.000 0.500 0.000
Pu 0.500 0.000 0.000
Pu 0.500 0.500 0.500
Ru 0.250 0.250 0.750
Ru 0.250 0.750 0.250
Ru 0.750 0.250 0.250
Ru 0.750 0.750 0.750
Pt 0.250 0.250 0.250
Pt 0.250 0.750 0.750
Pt 0.750 0.250 0.750
Pt 0.750 0.750 0.250

=====

Record 6
First-principles (PBE) data for NdPu2Si2Pt7 after structural relaxation, as listed in the Alexandria database.

Calculated values
Space group: No. 12
Fermi-level density of states, states/eV/atom: 2.305
Total magnetization, μB/atom: 0.91
Energy relative to the elements, uncorrected, meV per atom: -890.9

Unit cell a=4.090 b=4.090 c=13.951 alpha=95.76 beta=95.76 gamma=89.25
Positions (direct):
Nd 0.000 0.000 0.000
Pu 0.107 0.107 0.364
Pu 0.893 0.893 0.636
Si 0.412 0.412 0.744
Si 0.588 0.588 0.256
Pt 0.057 0.556 0.165
Pt 0.378 0.378 0.575
Pt 0.444 0.943 0.835
Pt 0.500 0.500 0.000
Pt 0.556 0.057 0.165
Pt 0.622 0.622 0.425
Pt 0.943 0.444 0.835

=====

Record 7
First-principles (PBE) data for NdPuTlPt after structural relaxation, as listed in the Alexandria database.

Calculated values
Space group: No. 216
DFT formation energy, kJ/mol of atoms: -39
Fermi-level density of states, states/eV/atom: 2.783
Total magnetization, μB/atom: 1.41

Unit cell a=7.431 b=7.431 c=7.431 alpha=90.00 beta=90.00 gamma=90.00
Positions (direct):
Nd 0.000 0.000 0.000
Nd 0.000 0.500 0.500
Nd 0.500 0.000 0.500
Nd 0.500 0.500 0.000
Pu 0.000 0.000 0.500
Pu 0.000 0.500 0.000
Pu 0.500 0.000 0.000
Pu 0.500 0.500 0.500
Tl 0.250 0.250 0.750
Tl 0.250 0.750 0.250
Tl 0.750 0.250 0.250
Tl 0.750 0.750 0.750
Pt 0.250 0.250 0.250
Pt 0.250 0.750 0.750
Pt 0.750 0.250 0.750
Pt 0.750 0.750 0.250

=====

Record 8
First-principles (PBE) data for Nd2PuZn3Pt4 after structural relaxation, as listed in the Alexandria database.

Calculated values
Space group: No. 115
DFT formation energy, kJ/mol of atoms: -70
Fermi-level density of states, states/eV/atom: 1.143
Total magnetization, μB/atom: 0.58

Unit cell a=4.231 b=4.231 c=11.538 alpha=90.00 beta=90.00 gamma=90.00
Positions (direct):
Nd 0.000 0.500 0.227
Nd 0.500 0.000 0.773
Pu 0.000 0.000 0.500
Zn 0.000 0.500 0.876
Zn 0.500 0.000 0.124
Zn 0.500 0.500 0.500
Pt 0.000 0.000 0.000
Pt 0.000 0.500 0.659
Pt 0.500 0.000 0.341
Pt 0.500 0.500 0.000

=====

Record 9
First-principles (PBE) data for RbNdPt10 after structural relaxation, as listed in the Alexandria database.

Calculated values
Space group: No. 47
DFT formation energy, kJ/mol of atoms: -37
Fermi-level density of states, states/eV/atom: 0.604
Total magnetization, μB/atom: 0.00

Unit cell a=4.380 b=5.540 c=9.501 alpha=90.00 beta=90.00 gamma=90.00
Positions (direct):
Rb 0.000 0.000 0.000
Nd 0.000 0.500 0.500
Pt 0.000 0.000 0.338
Pt 0.000 0.000 0.662
Pt 0.000 0.500 0.172
Pt 0.000 0.500 0.828
Pt 0.500 0.000 0.500
Pt 0.500 0.255 0.258
Pt 0.500 0.255 0.742
Pt 0.500 0.500 0.000
Pt 0.500 0.745 0.258
Pt 0.500 0.745 0.742

=====

Record 10
First-principles (PBE) data for Nd3Pt4Rh4 after structural relaxation, as listed in the Alexandria database.

Calculated values
Space group: No. 217
DFT formation energy, kJ/mol of atoms: -44
Fermi-level density of states, states/eV/atom: 0.879
Total magnetization, μB/atom: 0.00

Unit cell a=6.748 b=6.748 c=6.748 alpha=109.47 beta=109.47 gamma=109.47
Positions (direct):
Nd 0.000 0.500 0.500
Nd 0.500 0.000 0.500
Nd 0.500 0.500 0.000
Pt 0.000 0.000 0.594
Pt 0.000 0.594 0.000
Pt 0.406 0.406 0.406
Pt 0.594 0.000 0.000
Rh 0.000 0.000 0.234
Rh 0.000 0.234 0.000
Rh 0.234 0.000 0.000
Rh 0.766 0.766 0.766

=====

Record 11
First-principles (PBE) data for Nd2PtRh3 after structural relaxation, as listed in the Alexandria database.

Calculated values
Space group: No. 166
DFT formation energy, kJ/mol of atoms: -75
Fermi-level density of states, states/eV/atom: 0.619
Total magnetization, μB/atom: 0.00

Unit cell a=5.435 b=5.435 c=5.435 alpha=60.18 beta=60.18 gamma=60.18
Positions (direct):
Nd 0.124 0.124 0.124
Nd 0.876 0.876 0.876
Pt 0.500 0.500 0.500
Rh 0.000 0.500 0.500
Rh 0.500 0.000 0.500
Rh 0.500 0.500 0.000

=====

Record 12
First-principles (PBE) data for Nd8Pt2Rh after structural relaxation, as listed in the Alexandria database.

Calculated values
Space group: No. 8
DFT formation energy, kJ/mol of atoms: -45
Fermi-level density of states, states/eV/atom: 1.096
Total magnetization, μB/atom: 0.00

Unit cell a=7.713 b=7.713 c=6.449 alpha=101.49 beta=101.49 gamma=111.74
Positions (direct):
Nd 0.000 0.000 0.000
Nd 0.010 0.274 0.558
Nd 0.153 0.552 0.185
Nd 0.274 0.010 0.558
Nd 0.438 0.702 0.800
Nd 0.552 0.153 0.185
Nd 0.702 0.438 0.800
Nd 0.712 0.712 0.378
Pt 0.042 0.675 0.690
Pt 0.675 0.042 0.690
Rh 0.365 0.365 0.389